A plane-wave DFT calculation with PBE with a Hubbard U was carried out for crystalline NaV2BiO6 at its relaxed geometry.

abc: 10.671 10.019 6.171
angles: 90.00 109.41 90.00
Space group C2/c (No. 15)
Symmetry-distinct sites (fractional):
Na 0.000 0.219 0.250 (multiplicity 4)
V 0.194 0.087 0.740 (multiplicity 8)
Bi 0.000 0.403 0.750 (multiplicity 4)
O 0.123 0.411 0.149 (multiplicity 8)
O 0.129 0.248 0.651 (multiplicity 8)
O 0.143 0.011 0.967 (multiplicity 8)

For the mass density, the calculation gives 4.6 g/cm³. The size of the total moment is 8.00 Bohr magnetons per cell. The total DFT energy (no corrections) comes out at -6.7307 eV per atom.